Entry 1:
First-principles (PBE-GGA) data for a geometry-optimized ScCrSnRh structure, as listed in the Alexandria database.

VASP energy: -7.270 eV per atom
Space-group type: F-43m (216)

Cell and atoms, written as POSCAR:
```
ScCrSnRh
1.0
-0.019 -2.692 -3.749
3.604 -2.742 -0.891
-0.415 -4.575 0.447
Sc Rh Sn Cr
1 1 1 1
Direct
0.500 0.500 0.500
0.250 0.250 0.250
0.000 0.000 0.000
0.750 0.750 0.750
```



Entry 2:
First-principles (PBE-GGA) data for a geometry-optimized Pm2Cd2In structure, as listed in the Alexandria database.

Polymorph energy (0 for the lowest one): 0.000 eV/atom
VASP energy: -3.157 eV per atom
Space-group type: C2/m (12)

Cell and atoms, written as POSCAR:
```
Pm2Cd2In
1.0
5.035 0.000 0.000
2.518 5.609 -0.887
2.518 -0.751 9.728
In Pm Cd
2 4 4
Direct
0.445 0.810 0.301
0.555 0.190 0.699
0.109 0.718 0.065
0.703 0.245 0.350
0.891 0.282 0.935
0.297 0.755 0.650
0.049 0.320 0.583
0.656 0.824 0.865
0.951 0.680 0.417
0.344 0.176 0.135
```